Below is a geometry-optimized BaH3Cl structure, with properties calculated at the GGA-PBE level.

Geometry as POSCAR:
```
BaH3Cl
1.0
-2.6413 -2.2671 3.2625
-1.8967 -2.7228 -3.4277
3.4908 -3.1948 0.6062
H Cl Ba
3 1 1
direct
0.5000 0.0000 0.0000
0.0000 0.5000 0.0000
0.0000 0.0000 0.5000
0.5000 0.5000 0.5000
0.0000 0.0000 0.0000
```

Space group ... No. 221
Energy above the most stable polymorph in this dataset ... 0 kJ/mol of formula units
Energy ... -2.49 eV per atom



Below is a geometry-optimized La6SiBr3N2 structure, with properties calculated at the GGA-PBE level.

Geometry as POSCAR:
```
La6SiBr3N2
1.0
3.9907 0.0000 0.0000
0.0000 8.8232 -0.3479
-1.9953 -3.2029 8.9908
La Br N Si
6 3 2 1
direct
0.0291 0.2515 0.0581
0.6850 0.5486 0.3700
0.9709 0.7485 0.9419
0.6654 0.1394 0.3308
0.3346 0.8606 0.6692
0.3150 0.4514 0.6300
0.5000 0.5000 0.0000
0.8387 0.1703 0.6775
0.1613 0.8297 0.3225
0.1739 0.3413 0.3478
0.8261 0.6587 0.6522
0.5000 0.0000 0.0000
```

Space group ... No. 12
Formation energy from raw total energies ... -1.329 eV/atom
Energy ... -6.05 eV per atom



Below is a geometry-optimized FeB3Pt structure, with properties calculated at the GGA-PBE level.

Geometry as POSCAR:
```
FeB3Pt
1.0
3.7633 0.0000 0.0000
0.0000 3.7633 0.0000
0.0000 0.0000 3.7633
B Fe Pt
3 1 1
direct
0.0000 0.0000 0.5000
0.5000 0.0000 0.0000
0.0000 0.5000 0.0000
0.0000 0.0000 0.0000
0.5000 0.5000 0.5000
```

Calculated formation energy ... 0.97 eV per atom
Space group ... No. 221
Energy above the most stable polymorph in this dataset ... 0 kJ/mol of formula units
Energy ... -5.94 eV per atom



Below is a geometry-optimized Pr6Te3CS2 structure, with properties calculated at the GGA-PBE level.

Geometry as POSCAR:
```
Pr6Te3CS2
1.0
7.2597 0.0034 0.0032
-3.6251 6.2898 0.0032
-1.2091 -2.0935 7.2781
Pr S Te C
6 2 3 1
direct
0.6233 0.9329 0.7982
0.2402 0.2402 0.7932
0.9329 0.6233 0.7982
0.0671 0.3767 0.2018
0.3767 0.0671 0.2018
0.7598 0.7598 0.2068
0.3343 0.6657 0.0000
0.6657 0.3343 0.0000
0.1731 0.8269 0.5000
0.8269 0.1731 0.5000
0.5000 0.5000 0.5000
0.0000 0.0000 0.0000
```

Space group ... No. 12
Formation energy from raw total energies ... -1.446 eV/atom
Energy ... -6.08 eV per atom



Q: Which calculated volume values were calculated for the entries above? A: 109, 312, 53, 333, in Å³/cell.